[1]
Density functional theory data (PBE) for a relaxed ErGaNi crystal.

POSCAR file:
```
ErGaNi
1.0
4.871 -2.072 0.000
4.871 2.072 0.000
-4.240 0.000 5.312
Er Ga Ni
2 2 2
direct
0.058 0.058 0.314
0.942 0.942 0.686
0.323 0.323 0.902
0.677 0.677 0.098
0.345 0.345 0.302
0.655 0.655 0.698
```

Summary:
- SG: C2/m
- Calculated formation energy: -0.62 eV/atom

[2]
Density functional theory data (PBE) for a relaxed PrHfSb crystal.

POSCAR file:
```
PrHfSb
1.0
4.382 0.000 0.000
0.000 4.382 0.000
0.000 0.000 8.459
Pr Hf Sb
2 2 2
direct
0.250 0.250 0.148
0.750 0.750 0.852
0.250 0.750 0.500
0.750 0.250 0.500
0.250 0.250 0.750
0.750 0.750 0.250
```

Summary:
- SG: P4/nmm
- DFT total energy: -42.1 eV for the cell shown